(1)
Density functional theory data (PBE) for an optimized crystal structure of Ho2Pa2O5.

Results
Relative energy among the computed polymorphs   0.021 eV/atom
Total magnetic moment   3.38 Bohr magnetons per cell
SG   P4/mmm (123)

Unit cell a=4.339 b=4.339 c=7.706 alpha=90.00 beta=90.00 gamma=90.00
Fractional coordinates of all 9 atoms:
Ho 0.000 0.000 0.227
Ho 0.000 0.000 0.773
Pa 0.500 0.500 0.000
Pa 0.500 0.500 0.500
O 0.000 0.000 0.500
O 0.000 0.500 0.246
O 0.000 0.500 0.754
O 0.500 0.000 0.246
O 0.500 0.000 0.754

---

(2)
Density functional theory data (PBE) for an optimized crystal structure of HoPa2O4.

Results
VASP energy   -8.5011 eV/atom
Total magnetic moment   5.37 Bohr magnetons per cell
SG   Fd-3m (227)

Unit cell a=6.950 b=6.950 c=6.950 alpha=60.00 beta=60.00 gamma=60.00
Fractional coordinates of all 14 atoms:
Ho 0.125 0.125 0.125
Ho 0.875 0.875 0.875
Pa 0.000 0.500 0.500
Pa 0.500 0.000 0.500
Pa 0.500 0.500 0.000
Pa 0.500 0.500 0.500
O 0.250 0.250 0.250
O 0.250 0.250 0.750
O 0.250 0.750 0.250
O 0.250 0.750 0.750
O 0.750 0.250 0.250
O 0.750 0.250 0.750
O 0.750 0.750 0.250
O 0.750 0.750 0.750